! AlMoF3, optimized geometry, DFT PBE+U; values from VASP
&SYSTEM
  ibrav = 0, nat = 5, ntyp = 3
/
ATOMIC_SPECIES
Mo 95.94 Mo.upf
Al 26.98 Al.upf
F 19.00 F.upf
CELL_PARAMETERS angstrom
-1.807 -3.472 -1.247
2.620 -2.186 2.289
-2.598 0.212 3.175
ATOMIC_POSITIONS angstrom
Mo -0.893 -2.723 2.109
Al 0.000 0.000 0.000
F 1.310 -1.093 1.145
F -1.299 0.106 1.588
F -0.904 -1.736 -0.624
! Magnetization (Bohr magnetons per cell): 5.04
! Offset from the most stable computed form (meV per atom): 0
! Fermi-level density of states (states/eV/atom): 0.142
! Symmetry: No. 221